La8Ru4O21: relaxed, PBE.

Geometry as extended XYZ:
```
66
Lattice="9.933 0.000 0.000 -4.967 8.602 0.000 0.000 0.000 10.964" Properties=species:S:1:pos:R:3 pbc="T T T"
La -1.190 2.061 0.000
La -1.969 3.411 7.056
La -2.997 5.191 1.574
La -3.777 6.542 5.482
La 2.380 0.000 0.000
La 1.190 2.061 5.482
La 0.000 5.735 3.877
La 0.000 5.735 9.359
La 3.939 0.000 7.056
La 1.969 3.411 1.574
La 5.995 0.000 1.574
La 2.997 5.191 7.056
La 4.967 2.867 3.877
La 4.967 2.867 9.359
La 7.554 0.000 5.482
La 3.777 6.542 0.000
Ru 0.000 0.000 2.582
Ru 0.000 0.000 8.064
Ru -1.773 3.070 3.679
Ru -3.194 5.532 9.161
Ru 3.545 0.000 3.679
Ru 1.773 3.070 9.161
Ru 6.388 0.000 9.161
Ru 3.194 5.532 3.679
O -0.779 1.350 3.858
O -0.787 1.363 6.851
O -2.178 3.773 9.403
O -2.789 4.830 3.920
O -4.180 7.239 1.369
O -4.187 7.253 9.340
O 1.559 0.000 3.858
O 0.779 1.350 9.340
O 1.574 0.000 6.851
O 0.787 1.363 1.369
O -0.703 3.936 2.241
O -1.910 6.026 7.723
O -0.554 3.761 5.132
O -1.986 6.242 10.614
O 0.554 3.761 10.614
O -1.432 7.201 5.132
O 0.703 3.936 7.723
O -1.207 7.243 2.241
O 3.534 1.401 5.132
O 2.981 2.360 10.614
O 4.356 0.000 9.403
O 2.178 3.773 3.920
O 3.760 1.359 2.241
O 3.057 2.577 7.723
O 1.910 6.026 2.241
O 1.207 7.243 7.723
O 5.577 0.000 3.920
O 2.789 4.830 9.403
O 1.986 6.242 5.132
O 1.432 7.201 10.614
O 6.173 1.359 7.723
O 4.264 4.667 2.241
O 6.399 1.401 10.614
O 4.413 4.841 5.132
O 6.953 2.360 5.132
O 5.520 4.841 10.614
O 8.359 0.000 1.369
O 6.876 2.577 2.241
O 5.669 4.667 7.723
O 4.180 7.239 6.851
O 8.375 0.000 9.340
O 4.187 7.253 3.858
```

Properties
raw total energy	-526.64	eV for the cell shown
DOS(E_F)	16.96	states/eV/cell